[1]
Density functional theory data (PBE) for a relaxed structure of YInAs2.

Values from the calculation:
Space-group type ... R-3m (166)
Energy of formation from the pure elements ... -0.64 eV per atom

a = 7.0225 Å, b = 7.0225 Å, c = 7.0225 Å
α = 34.24°, β = 34.24°, γ = 34.24°
With the nearest neighbours (Å) after each atom.
Element x y z (fractional)
As: 0.5027 0.5027 0.5027  3 In 2.87, 3 Y 2.93
As: 0.9973 0.9973 0.9973  3 In 2.87, 3 Y 2.93
In: 0.2500 0.2500 0.2500  6 As 2.87
Y: 0.7500 0.7500 0.7500  6 As 2.93


[2]
Density functional theory data (PBE) for a relaxed structure of Zr2Al2VFe5.

Values from the calculation:
Space-group type ... P4/mbm (127)
Energy of formation from the pure elements ... -0.11 eV per atom

a = 3.1584 Å, b = 9.3805 Å, c = 9.3805 Å
α = 90.00°, β = 90.00°, γ = 90.00°
With the nearest neighbours (Å) after each atom.
Element x y z (fractional)
Al: 0.0000 0.6285 0.8715  6 Fe 2.32-2.38
Al: 0.0000 0.3715 0.1285  6 Fe 2.32-2.38
Al: 0.0000 0.1285 0.6285  6 Fe 2.32-2.38
Al: 0.0000 0.8715 0.3715  6 Fe 2.32-2.38
V: 0.0000 0.5000 0.5000  8 Fe 2.47
V: 0.0000 0.0000 0.0000  8 Fe 2.47
Zr: 0.0000 0.3298 0.8298  3 Al 2.67-2.83, 10 Fe 2.76-2.99
Zr: 0.0000 0.1702 0.3298  3 Al 2.67-2.83, 10 Fe 2.76-2.99
Zr: 0.0000 0.6702 0.1702  3 Al 2.67-2.83, 10 Fe 2.76-2.99
Zr: 0.0000 0.8298 0.6702  3 Al 2.67-2.83, 10 Fe 2.76-2.99
Fe: 0.5000 0.0000 0.5000  4 Al 2.32
Fe: 0.5000 0.1937 0.0606  2 Al 2.38, 2 V 2.47
Fe: 0.5000 0.0606 0.8063  2 Al 2.38, 2 V 2.47
Fe: 0.5000 0.5606 0.6937  2 Al 2.38, 2 V 2.47
Fe: 0.5000 0.4394 0.3063  2 Al 2.38, 2 V 2.47
Fe: 0.5000 0.5000 0.0000  4 Al 2.32
Fe: 0.5000 0.3063 0.5606  2 Al 2.38, 2 V 2.47
Fe: 0.5000 0.9394 0.1937  2 Al 2.38, 2 V 2.47
Fe: 0.5000 0.8063 0.9394  2 Al 2.38, 2 V 2.47
Fe: 0.5000 0.6937 0.4394  2 Al 2.38, 2 V 2.47


[3]
Density functional theory data (PBE) for a relaxed structure of YMg2Ir2.

Values from the calculation:
Space-group type ... P4/mbm (127)
Energy of formation from the pure elements ... -0.42 eV per atom

a = 7.6565 Å, b = 7.6565 Å, c = 3.1259 Å
α = 90.00°, β = 90.00°, γ = 90.00°
With the nearest neighbours (Å) after each atom.
Element x y z (fractional)
Mg: 0.3656 0.1344 0.5000  6 Ir 2.71-2.76, 1 Mg 2.91
Mg: 0.1344 0.6344 0.5000  6 Ir 2.71-2.76, 1 Mg 2.91
Mg: 0.6344 0.8656 0.5000  6 Ir 2.71-2.76, 1 Mg 2.91
Mg: 0.8656 0.3656 0.5000  6 Ir 2.71-2.76, 1 Mg 2.91
Y: 0.0000 0.0000 0.0000  4 Ir 2.87, 2 Y 3.13
Y: 0.5000 0.5000 0.0000  4 Ir 2.87, 2 Y 3.13
Ir: 0.8385 0.6615 0.0000  6 Mg 2.71-2.76, 2 Y 2.87
Ir: 0.1615 0.3385 0.0000  6 Mg 2.71-2.76, 2 Y 2.87
Ir: 0.6615 0.1615 0.0000  6 Mg 2.71-2.76, 2 Y 2.87
Ir: 0.3385 0.8385 0.0000  6 Mg 2.71-2.76, 2 Y 2.87


[4]
Density functional theory data (PBE) for a relaxed structure of SbPd2Pt5.

Values from the calculation:
Formation energy (no corrections) ... 0.011 eV per atom
Space-group type ... I4/mcm (140)

a = 7.0582 Å, b = 7.0582 Å, c = 7.3427 Å
α = 118.73°, β = 118.73°, γ = 90.00°
With the nearest neighbours (Å) after each atom.
Element x y z (fractional)
Pd: 0.6487 0.1487 0.0000  8 Pt 2.69-2.74, 1 Pd 2.97
Pd: 0.8513 0.6487 0.0000  8 Pt 2.69-2.74, 1 Pd 2.97
Pd: 0.1487 0.3513 0.0000  8 Pt 2.69-2.74, 1 Pd 2.97
Pd: 0.3513 0.8513 0.0000  8 Pt 2.69-2.74, 1 Pd 2.97
Pt: 0.5199 0.3121 0.3320  3 Pd 2.72-2.74, 4 Pt 2.74-2.92, 2 Sb 2.85
Pt: 0.3121 0.8121 0.3320  3 Pd 2.72-2.74, 4 Pt 2.74-2.92, 2 Sb 2.85
Pt: 0.6879 0.1879 0.6680  3 Pd 2.72-2.74, 4 Pt 2.74-2.92, 2 Sb 2.85
Pt: 0.8121 0.0199 0.3320  3 Pd 2.72-2.74, 4 Pt 2.74-2.92, 2 Sb 2.85
Pt: 0.9801 0.4801 0.6680  3 Pd 2.72-2.74, 4 Pt 2.74-2.92, 2 Sb 2.85
Pt: 0.0000 0.0000 0.0000  4 Pd 2.69, 2 Sb 2.69
Pt: 0.0199 0.5199 0.3320  3 Pd 2.72-2.74, 4 Pt 2.74-2.92, 2 Sb 2.85
Pt: 0.1879 0.9801 0.6680  3 Pd 2.72-2.74, 4 Pt 2.74-2.92, 2 Sb 2.85
Pt: 0.5000 0.5000 0.0000  4 Pd 2.69, 2 Sb 2.69
Pt: 0.4801 0.6879 0.6680  3 Pd 2.72-2.74, 4 Pt 2.74-2.92, 2 Sb 2.85
Sb: 0.7500 0.7500 0.5000  10 Pt 2.69-2.85
Sb: 0.2500 0.2500 0.5000  10 Pt 2.69-2.85


[5]
Density functional theory data (PBE) for a relaxed structure of Cs3TeSe.

Values from the calculation:
Formation energy (no corrections) ... -1.014 eV per atom
Space-group type ... P3 (143)

a = 5.9291 Å, b = 11.4710 Å, c = 9.8196 Å
α = 115.36°, β = 90.00°, γ = 121.12°
With the nearest neighbours (Å) after each atom.
Element x y z (fractional)
Te: 0.4884 0.2437 0.0441  9 Cs 3.87-4.01
Te: 0.6550 0.9104 0.3774  9 Cs 3.93-3.96
Cs: 0.0353 0.2899 0.3385  2 Se 3.75-3.76, 3 Te 3.93-4.01
Cs: 0.6941 0.9493 0.7960  2 Se 3.75, 3 Te 3.93-4.00
Cs: 0.2364 0.4919 0.9979  2 Se 3.75, 3 Te 3.93-4.01
Cs: 0.1224 0.8771 0.0947  2 Se 3.64, 3 Te 3.87-3.96
Cs: 0.9055 0.6611 0.4106  2 Se 3.64, 3 Te 3.87-3.96
Cs: 0.4377 0.1930 0.6268  2 Se 3.64, 3 Te 3.87-3.96
Se: 0.6185 0.5772 0.7113  1 Se 2.42
Se: 0.0266 0.5768 0.7103  1 Se 2.42


[6]
Density functional theory data (PBE) for a relaxed structure of PuIrPtO6.

Values from the calculation:
Formation energy (no corrections) ... -1.337 eV per atom
Space-group type ... P-31c (163)

a = 5.2594 Å, b = 5.2594 Å, c = 9.0360 Å
α = 90.00°, β = 90.00°, γ = 120.00°
With the nearest neighbours (Å) after each atom.
Element x y z (fractional)
O: 0.3306 0.0082 0.6207  1 Ir 2.03, 1 Pt 2.10, 1 Pu 2.15
O: 0.9918 0.6694 0.8793  1 Ir 2.03, 1 Pt 2.10, 1 Pu 2.15
O: 0.9918 0.3224 0.6207  1 Ir 2.03, 1 Pt 2.10, 1 Pu 2.15
O: 0.3306 0.3224 0.8793  1 Ir 2.03, 1 Pt 2.10, 1 Pu 2.15
O: 0.6694 0.9918 0.3793  1 Ir 2.03, 1 Pt 2.10, 1 Pu 2.15
O: 0.0082 0.6776 0.3793  1 Ir 2.03, 1 Pt 2.10, 1 Pu 2.15
O: 0.3224 0.9918 0.1207  1 Ir 2.03, 1 Pt 2.10, 1 Pu 2.15
O: 0.0082 0.3306 0.1207  1 Ir 2.03, 1 Pt 2.10, 1 Pu 2.15
O: 0.6776 0.0082 0.8793  1 Ir 2.03, 1 Pt 2.10, 1 Pu 2.15
O: 0.3224 0.3306 0.3793  1 Ir 2.03, 1 Pt 2.10, 1 Pu 2.15
O: 0.6694 0.6776 0.1207  1 Ir 2.03, 1 Pt 2.10, 1 Pu 2.15
O: 0.6776 0.6694 0.6207  1 Ir 2.03, 1 Pt 2.10, 1 Pu 2.15
Pt: 0.6667 0.3333 0.7500  6 O 2.10
Pt: 0.3333 0.6667 0.2500  6 O 2.10
Pu: 0.3333 0.6667 0.7500  6 O 2.15
Pu: 0.6667 0.3333 0.2500  6 O 2.15
Ir: 0.0000 0.0000 0.0000  6 O 2.03
Ir: 0.0000 0.0000 0.5000  6 O 2.03


[7]
Density functional theory data (PBE) for a relaxed structure of Nb2TlAgP.

Values from the calculation:
Space-group type ... P4/mmm (123)
Energy of formation from the pure elements ... 0.62 eV per atom

a = 4.6533 Å, b = 5.1380 Å, c = 4.6533 Å
α = 90.00°, β = 90.00°, γ = 90.00°
With the nearest neighbours (Å) after each atom.
Element x y z (fractional)
Tl: 0.0000 0.5000 0.0000  2 P 2.57
Nb: 0.0000 0.0000 0.5000  2 P 2.33
Nb: 0.5000 0.0000 0.0000  2 P 2.33
Ag: 0.5000 0.5000 0.5000  4 Tl 3.29, 8 Nb 3.47
P: 0.0000 0.0000 0.0000  4 Nb 2.33, 2 Tl 2.57


[8]
Density functional theory data (PBE) for a relaxed structure of Nd6Zn5Rh.

Values from the calculation:
Space-group type ... C2/m (12)
Energy of formation from the pure elements ... -0.37 eV per atom

a = 5.1861 Å, b = 7.3265 Å, c = 8.9581 Å
α = 65.85°, β = 73.25°, γ = 90.00°
With the nearest neighbours (Å) after each atom.
Element x y z (fractional)
Zn: 0.0000 0.5000 0.0000  8 Nd 3.13-3.21
Zn: 0.6680 0.6684 0.6629  8 Nd 3.19-3.23, 2 Zn 3.51-3.52
Zn: 0.6779 0.1781 0.6436  8 Nd 3.12-3.28
Zn: 0.3320 0.3316 0.3371  8 Nd 3.19-3.23, 2 Zn 3.51-3.52
Zn: 0.3221 0.8219 0.3564  8 Nd 3.12-3.28
Nd: 0.8391 0.5955 0.3224  1 Rh 3.07, 7 Zn 3.12-3.21
Nd: 0.5000 0.2409 0.0000  2 Rh 3.14, 6 Zn 3.21-3.28
Nd: 0.5000 0.7591 0.0000  2 Rh 3.14, 6 Zn 3.21-3.28
Nd: 0.1609 0.9179 0.6776  1 Rh 3.07, 7 Zn 3.12-3.21
Nd: 0.8391 0.0821 0.3224  1 Rh 3.07, 7 Zn 3.12-3.21
Nd: 0.1609 0.4045 0.6776  1 Rh 3.07, 7 Zn 3.12-3.21
Rh: 0.0000 0.0000 0.0000  8 Nd 3.07-3.14


[9]
Density functional theory data (PBE) for a relaxed structure of MnInPd14.

Values from the calculation:
Space-group type ... P4/mmm (123)
Energy of formation from the pure elements ... -0.16 eV per atom

a = 5.6277 Å, b = 5.6277 Å, c = 7.8774 Å
α = 90.00°, β = 90.00°, γ = 90.01°
With the nearest neighbours (Å) after each atom.
Element x y z (fractional)
In: 0.8750 0.8750 0.5000  12 Pd 2.81
Pd: 0.6224 0.6224 0.2511  1 Mn 2.78, 10 Pd 2.78-2.84, 1 In 2.81
Pd: 0.1276 0.1276 0.2511  1 Mn 2.78, 10 Pd 2.78-2.84, 1 In 2.81
Pd: 0.1276 0.6224 0.7490  1 Mn 2.78, 10 Pd 2.78-2.84, 1 In 2.81
Pd: 0.6224 0.6224 0.7489  1 Mn 2.78, 10 Pd 2.78-2.84, 1 In 2.81
Pd: 0.6224 0.1276 0.7490  1 Mn 2.78, 10 Pd 2.78-2.84, 1 In 2.81
Pd: 0.6224 0.1276 0.2510  1 Mn 2.78, 10 Pd 2.78-2.84, 1 In 2.81
Pd: 0.1276 0.1276 0.7489  1 Mn 2.78, 10 Pd 2.78-2.84, 1 In 2.81
Pd: 0.3750 0.8750 0.5000  8 Pd 2.79, 2 In 2.81, 2 Mn 2.81
Pd: 0.8750 0.3750 0.0000  12 Pd 2.81
Pd: 0.3750 0.8750 0.0000  12 Pd 2.81
Pd: 0.1276 0.6224 0.2510  1 Mn 2.78, 10 Pd 2.78-2.84, 1 In 2.81
Pd: 0.8750 0.3750 0.5000  8 Pd 2.79, 2 In 2.81, 2 Mn 2.81
Pd: 0.3750 0.3750 0.0000  12 Pd 2.79-2.81
Pd: 0.8750 0.8750 0.0000  12 Pd 2.81-2.82
Mn: 0.3750 0.3750 0.5000  12 Pd 2.78-2.81


[10]
Density functional theory data (PBE) for a relaxed structure of Er2Tm6Pu.

Values from the calculation:
Space-group type ... C2/c (15)
Energy of formation from the pure elements ... 0.03 eV per atom

a = 6.1295 Å, b = 6.1297 Å, c = 16.9711 Å
α = 100.45°, β = 100.45°, γ = 60.02°
With the nearest neighbours (Å) after each atom.
Element x y z (fractional)
Tm: 0.3001 0.1390 0.9170  1 Pu 3.42, 9 Tm 3.44-3.57, 2 Er 3.45-3.46
Tm: 0.6999 0.8610 0.0830  1 Pu 3.42, 9 Tm 3.44-3.57, 2 Er 3.45-3.46
Tm: 0.0279 0.1894 0.0841  1 Pu 3.41, 9 Tm 3.42-3.57, 2 Er 3.44
Tm: 0.8610 0.6998 0.5830  1 Pu 3.42, 9 Tm 3.44-3.57, 2 Er 3.45-3.46
Tm: 0.9721 0.8106 0.9159  1 Pu 3.41, 9 Tm 3.42-3.57, 2 Er 3.44
Tm: 0.1894 0.0280 0.5841  1 Pu 3.41, 9 Tm 3.42-3.57, 2 Er 3.44
Tm: 0.1390 0.3002 0.4170  1 Pu 3.42, 9 Tm 3.44-3.57, 2 Er 3.45-3.46
Tm: 0.5333 0.3553 0.5831  1 Pu 3.42, 9 Tm 3.44-3.57, 2 Er 3.45
Tm: 0.8106 0.9720 0.4159  1 Pu 3.41, 9 Tm 3.42-3.57, 2 Er 3.44
Tm: 0.3554 0.5333 0.0831  1 Pu 3.42, 9 Tm 3.44-3.57, 2 Er 3.45
Tm: 0.4667 0.6447 0.4169  1 Pu 3.42, 9 Tm 3.44-3.57, 2 Er 3.45
Tm: 0.6446 0.4667 0.9169  1 Pu 3.42, 9 Tm 3.44-3.57, 2 Er 3.45
Er: 0.7505 0.5828 0.2500  6 Tm 3.44-3.46, 3 Pu 3.54, 3 Er 3.54
Er: 0.5828 0.7504 0.7500  6 Tm 3.44-3.46, 3 Pu 3.54, 3 Er 3.54
Er: 0.4172 0.2496 0.2500  6 Tm 3.44-3.46, 3 Pu 3.54, 3 Er 3.54
Er: 0.2495 0.4172 0.7500  6 Tm 3.44-3.46, 3 Pu 3.54, 3 Er 3.54
Pu: 0.9158 0.0843 0.7500  6 Tm 3.41-3.42, 6 Er 3.54
Pu: 0.0842 0.9157 0.2500  6 Tm 3.41-3.42, 6 Er 3.54


[11]
Density functional theory data (PBE) for a relaxed structure of PrCuNiAs2.

Values from the calculation:
Space-group type ... I-4m2 (119)
Energy of formation from the pure elements ... -0.69 eV per atom

a = 4.0507 Å, b = 4.0507 Å, c = 6.1775 Å
α = 109.14°, β = 109.14°, γ = 90.00°
With the nearest neighbours (Å) after each atom.
Element x y z (fractional)
As: 0.3698 0.3698 0.7396  2 Ni 2.41, 2 Cu 2.41
As: 0.6302 0.6302 0.2604  2 Cu 2.41, 2 Ni 2.41
Ni: 0.2500 0.7500 0.5000  4 As 2.41
Cu: 0.7500 0.2500 0.5000  4 As 2.41
Pr: 0.0000 0.0000 0.0000  8 As 3.20, 4 Ni 3.40, 4 Cu 3.40


[12]
Density functional theory data (PBE) for a relaxed structure of CsBaZn2.

Values from the calculation:
Space-group type ... Fm-3m (225)
Energy of formation from the pure elements ... 0.13 eV per atom

a = 6.0353 Å, b = 6.0353 Å, c = 6.0353 Å
α = 60.00°, β = 60.00°, γ = 60.00°
With the nearest neighbours (Å) after each atom.
Element x y z (fractional)
Cs: 0.0000 0.0000 0.0000  8 Zn 3.70
Zn: 0.7500 0.7500 0.7500  4 Ba 3.70, 4 Cs 3.70
Zn: 0.2500 0.2500 0.2500  4 Ba 3.70, 4 Cs 3.70
Ba: 0.5000 0.5000 0.5000  8 Zn 3.70


| no. | theoretical density (g/cm3) | M_tot (Bohr magnetons per cell) |
| --- | --- | --- |
| 1 | 6.00 | 0.00 |
| 2 | 6.77 | 4.04 |
| 3 | 9.46 | 0.00 |
| 4 | 16.22 | 0.00 |
| 5 | 4.06 | 0.00 |
| 6 | 11.16 | 6.00 |
| 7 | 7.90 | 0.00 |
| 8 | 7.30 | 0.00 |
| 9 | 11.05 | 5.54 |
| 10 | 9.79 | 12.81 |
| 11 | 7.64 | 0.00 |
| 12 | 4.28 | 0.00 |